No. 1
# Cd2FeOs | Alexandria | GGA-PBEsol | relaxed
# Symmetry   R-3m, No. 166
# Volume   15.70 Å³/atom
# Formation energy from the elements   0.54 eV per atom
# Energy above the most stable polymorph in this dataset   0.00 eV/f.u.
# Density of states at the Fermi level   12.70 states/eV/cell
# M_tot   0.6297 μB per atom
data_Cd2FeOs
_cell_length_a 2.800
_cell_length_b 2.800
_cell_length_c 27.750
_cell_angle_alpha 90.00
_cell_angle_beta 90.00
_cell_angle_gamma 120.00
_symmetry_space_group_name_H-M 'P 1'
_symmetry_Int_Tables_number 1
loop_
_symmetry_equiv_pos_as_xyz
'x,y,z'
loop_
_atom_site_label
_atom_site_type_symbol
_atom_site_fract_x
_atom_site_fract_y
_atom_site_fract_z
Cd1 Cd 0.000 0.000 0.248
Cd2 Cd 0.000 0.000 0.752
Cd3 Cd 0.333 0.667 0.419
Cd4 Cd 0.333 0.667 0.915
Cd5 Cd 0.667 0.333 0.085
Cd6 Cd 0.667 0.333 0.581
Fe1 Fe 0.000 0.000 0.500
Fe2 Fe 0.333 0.667 0.167
Fe3 Fe 0.667 0.333 0.833
Os1 Os 0.000 0.000 0.000
Os2 Os 0.333 0.667 0.667
Os3 Os 0.667 0.333 0.333

---

No. 2
# NaLaAs2Se | Alexandria | GGA-PBEsol | relaxed
# Raw total energy   -21.0 eV per cell
# Symmetry   P4/mmm, No. 123
# Volume   35.89 Å³/atom
# Density of states at the Fermi level   5.42 states/eV/cell
# M_tot   0.0002 μB per atom
data_NaLaAs2Se
_cell_length_a 5.621
_cell_length_b 5.621
_cell_length_c 5.680
_cell_angle_alpha 90.00
_cell_angle_beta 90.00
_cell_angle_gamma 90.00
_symmetry_space_group_name_H-M 'P 1'
_symmetry_Int_Tables_number 1
loop_
_symmetry_equiv_pos_as_xyz
'x,y,z'
loop_
_atom_site_label
_atom_site_type_symbol
_atom_site_fract_x
_atom_site_fract_y
_atom_site_fract_z
Na1 Na 0.000 0.000 0.000
La1 La 0.500 0.500 0.500
As1 As 0.000 0.500 0.500
As2 As 0.500 0.000 0.500
Se1 Se 0.500 0.500 0.000

---

No. 3
# Sr2VCO3F5 | Alexandria | GGA-PBEsol | relaxed
# Raw total energy   -333.5 eV per cell
# Symmetry   P2_1/c, No. 14
# Volume   13.26 Å³/atom
# Density of states at the Fermi level   39.16 states/eV/cell
# M_tot   0.1667 μB per atom
data_Sr2VCO3F5
_cell_length_a 5.511
_cell_length_b 8.763
_cell_length_c 13.676
_cell_angle_alpha 90.00
_cell_angle_beta 105.43
_cell_angle_gamma 90.00
_symmetry_space_group_name_H-M 'P 1'
_symmetry_Int_Tables_number 1
loop_
_symmetry_equiv_pos_as_xyz
'x,y,z'
loop_
_atom_site_label
_atom_site_type_symbol
_atom_site_fract_x
_atom_site_fract_y
_atom_site_fract_z
Sr1 Sr 0.192 0.108 0.404
Sr2 Sr 0.192 0.392 0.904
Sr3 Sr 0.192 0.642 0.414
Sr4 Sr 0.192 0.858 0.914
Sr5 Sr 0.808 0.142 0.086
Sr6 Sr 0.808 0.358 0.586
Sr7 Sr 0.808 0.608 0.096
Sr8 Sr 0.808 0.892 0.596
V1 V 0.306 0.628 0.671
V2 V 0.306 0.872 0.171
V3 V 0.694 0.128 0.829
V4 V 0.694 0.372 0.329
C1 C 0.317 0.124 0.636
C2 C 0.317 0.376 0.136
C3 C 0.683 0.624 0.864
C4 C 0.683 0.876 0.364
O1 O 0.084 0.121 0.581
O2 O 0.084 0.379 0.081
O3 O 0.361 0.129 0.733
O4 O 0.361 0.371 0.233
O5 O 0.495 0.123 0.590
O6 O 0.495 0.377 0.090
O7 O 0.505 0.623 0.910
O8 O 0.505 0.877 0.410
O9 O 0.639 0.629 0.767
O10 O 0.639 0.871 0.267
O11 O 0.916 0.621 0.919
O12 O 0.916 0.879 0.419
F1 F 0.029 0.128 0.934
F2 F 0.029 0.372 0.434
F3 F 0.171 0.715 0.237
F4 F 0.171 0.785 0.737
F5 F 0.175 0.040 0.228
F6 F 0.175 0.460 0.728
F7 F 0.394 0.716 0.085
F8 F 0.394 0.784 0.585
F9 F 0.419 0.013 0.085
F10 F 0.419 0.487 0.585
F11 F 0.581 0.513 0.415
F12 F 0.581 0.987 0.915
F13 F 0.606 0.216 0.415
F14 F 0.606 0.284 0.915
F15 F 0.825 0.540 0.272
F16 F 0.825 0.960 0.772
F17 F 0.829 0.215 0.263
F18 F 0.829 0.285 0.763
F19 F 0.971 0.628 0.566
F20 F 0.971 0.872 0.066

---

No. 4
# Li3Ti2VO6 | Alexandria | GGA-PBEsol | relaxed
# Raw total energy   -94.4 eV per cell
# Symmetry   C2/m, No. 12
# Volume   8.64 Å³/atom
# Density of states at the Fermi level   3.46 states/eV/cell
# M_tot   0.0365 μB per atom
data_Li3Ti2VO6
_cell_length_a 6.605
_cell_length_b 6.605
_cell_length_c 5.870
_cell_angle_alpha 106.91
_cell_angle_beta 106.91
_cell_angle_gamma 25.10
_symmetry_space_group_name_H-M 'P 1'
_symmetry_Int_Tables_number 1
loop_
_symmetry_equiv_pos_as_xyz
'x,y,z'
loop_
_atom_site_label
_atom_site_type_symbol
_atom_site_fract_x
_atom_site_fract_y
_atom_site_fract_z
Li1 Li 0.000 0.000 0.000
Li2 Li 0.333 0.333 0.677
Li3 Li 0.667 0.667 0.323
Ti1 Ti 0.344 0.344 0.190
Ti2 Ti 0.656 0.656 0.810
V1 V 0.000 0.000 0.500
O1 O 0.167 0.167 0.585
O2 O 0.172 0.172 0.062
O3 O 0.497 0.497 0.744
O4 O 0.503 0.503 0.256
O5 O 0.828 0.828 0.938
O6 O 0.833 0.833 0.415

---

No. 5
# ZrTaSi2 | Alexandria | GGA-PBEsol | relaxed
# Symmetry   P2/m, No. 10
# Volume   16.46 Å³/atom
# Energy above the most stable polymorph in this dataset   1.04 eV/f.u.
# Density of states at the Fermi level   2.10 states/eV/cell
# M_tot   0.0000 μB per atom
data_ZrTaSi2
_cell_length_a 3.007
_cell_length_b 3.701
_cell_length_c 6.067
_cell_angle_alpha 90.00
_cell_angle_beta 102.77
_cell_angle_gamma 90.00
_symmetry_space_group_name_H-M 'P 1'
_symmetry_Int_Tables_number 1
loop_
_symmetry_equiv_pos_as_xyz
'x,y,z'
loop_
_atom_site_label
_atom_site_type_symbol
_atom_site_fract_x
_atom_site_fract_y
_atom_site_fract_z
Zr1 Zr 0.000 0.000 0.000
Ta1 Ta 0.000 0.000 0.500
Si1 Si 0.473 0.500 0.279
Si2 Si 0.527 0.500 0.721

---

No. 6
# MoC | Alexandria | GGA-PBEsol | relaxed
# Symmetry   P-6m2, No. 187
# Volume   10.15 Å³/atom
# Formation energy from the elements   -0.22 eV per atom
# Energy above the most stable polymorph in this dataset   0.00 eV/f.u.
# Density of states at the Fermi level   0.44 states/eV/cell
# M_tot   0.0000 μB per atom
data_MoC
_cell_length_a 2.891
_cell_length_b 2.891
_cell_length_c 2.805
_cell_angle_alpha 90.00
_cell_angle_beta 90.00
_cell_angle_gamma 120.00
_symmetry_space_group_name_H-M 'P 1'
_symmetry_Int_Tables_number 1
loop_
_symmetry_equiv_pos_as_xyz
'x,y,z'
loop_
_atom_site_label
_atom_site_type_symbol
_atom_site_fract_x
_atom_site_fract_y
_atom_site_fract_z
Mo1 Mo 0.000 0.000 0.000
C1 C 0.667 0.333 0.500

---

No. 7
# LiBeCo | Alexandria | GGA-PBEsol | relaxed
# Symmetry   F-43m, No. 216
# Volume   11.71 Å³/atom
# Formation energy from the elements   0.76 eV per atom
# Density of states at the Fermi level   14.33 states/eV/cell
# M_tot   0.0589 μB per atom
data_LiBeCo
_cell_length_a 5.198
_cell_length_b 5.198
_cell_length_c 5.198
_cell_angle_alpha 90.00
_cell_angle_beta 90.00
_cell_angle_gamma 90.00
_symmetry_space_group_name_H-M 'P 1'
_symmetry_Int_Tables_number 1
loop_
_symmetry_equiv_pos_as_xyz
'x,y,z'
loop_
_atom_site_label
_atom_site_type_symbol
_atom_site_fract_x
_atom_site_fract_y
_atom_site_fract_z
Li1 Li 0.000 0.000 0.000
Li2 Li 0.000 0.500 0.500
Li3 Li 0.500 0.000 0.500
Li4 Li 0.500 0.500 0.000
Be1 Be 0.000 0.000 0.500
Be2 Be 0.000 0.500 0.000
Be3 Be 0.500 0.000 0.000
Be4 Be 0.500 0.500 0.500
Co1 Co 0.250 0.250 0.750
Co2 Co 0.250 0.750 0.250
Co3 Co 0.750 0.250 0.250
Co4 Co 0.750 0.750 0.750

---

No. 8
# FeSb2Cl | Alexandria | GGA-PBEsol | relaxed
# Symmetry   C2/m, No. 12
# Volume   21.25 Å³/atom
# Energy above the most stable polymorph in this dataset   0.41 eV/f.u.
# Density of states at the Fermi level   5.85 states/eV/cell
# M_tot   0.6130 μB per atom
data_FeSb2Cl
_cell_length_a 7.725
_cell_length_b 7.531
_cell_length_c 3.077
_cell_angle_alpha 90.00
_cell_angle_beta 108.28
_cell_angle_gamma 90.00
_symmetry_space_group_name_H-M 'P 1'
_symmetry_Int_Tables_number 1
loop_
_symmetry_equiv_pos_as_xyz
'x,y,z'
loop_
_atom_site_label
_atom_site_type_symbol
_atom_site_fract_x
_atom_site_fract_y
_atom_site_fract_z
Fe1 Fe 0.000 0.000 0.000
Fe2 Fe 0.500 0.500 0.000
Sb1 Sb 0.250 0.250 0.000
Sb2 Sb 0.250 0.750 0.000
Sb3 Sb 0.750 0.250 0.000
Sb4 Sb 0.750 0.750 0.000
Cl1 Cl 0.000 0.500 0.000
Cl2 Cl 0.500 0.000 0.000

---

Please write out number 7 again, unchanged.
# LiBeCo | Alexandria | GGA-PBEsol | relaxed
# Symmetry   F-43m, No. 216
# Volume   11.71 Å³/atom
# Formation energy from the elements   0.76 eV per atom
# Density of states at the Fermi level   14.33 states/eV/cell
# M_tot   0.0589 μB per atom
data_LiBeCo
_cell_length_a 5.198
_cell_length_b 5.198
_cell_length_c 5.198
_cell_angle_alpha 90.00
_cell_angle_beta 90.00
_cell_angle_gamma 90.00
_symmetry_space_group_name_H-M 'P 1'
_symmetry_Int_Tables_number 1
loop_
_symmetry_equiv_pos_as_xyz
'x,y,z'
loop_
_atom_site_label
_atom_site_type_symbol
_atom_site_fract_x
_atom_site_fract_y
_atom_site_fract_z
Li1 Li 0.000 0.000 0.000
Li2 Li 0.000 0.500 0.500
Li3 Li 0.500 0.000 0.500
Li4 Li 0.500 0.500 0.000
Be1 Be 0.000 0.000 0.500
Be2 Be 0.000 0.500 0.000
Be3 Be 0.500 0.000 0.000
Be4 Be 0.500 0.500 0.500
Co1 Co 0.250 0.250 0.750
Co2 Co 0.250 0.750 0.250
Co3 Co 0.750 0.250 0.250
Co4 Co 0.750 0.750 0.750